! CuSBr2 (GGA-PBE, optimized geometry); values from VASP
&SYSTEM
  ibrav = 0, nat = 4, ntyp = 3
/
ATOMIC_SPECIES
Br 79.90 Br.upf
Cu 63.55 Cu.upf
S 32.06 S.upf
CELL_PARAMETERS angstrom
0.0000 3.4385 3.4385
3.4385 0.0000 3.4385
3.4385 3.4385 0.0000
ATOMIC_POSITIONS angstrom
Br 1.7192 1.7192 1.7192
Br 5.1577 5.1577 5.1577
Cu 3.4385 3.4385 3.4385
S 0.0000 0.0000 0.0000
! Density = 5216 kg/m3
! Formation energy (no corrections) = 800.0 meV per atom
! Fermi-level density of states = 7.21 states/eV/cell
! Symmetry = Fm-3m, No. 225
! Distance to the lowest polymorph of the same formula = 388 meV per atom